Entry from the Alexandria database: crystalline Tb6HoIn at its relaxed geometry (PBE).

It has space group P4/mmm (No. 123), with a = 4.912 Å, b = 4.912 Å, c = 10.035 Å, α = 90.00°, β = 90.00° and γ = 90.00°. The asymmetric unit holds Tb at (0.000, 0.000, 0.000), Tb at (0.000, 0.000, 0.500), Tb at (0.000, 0.500, 0.244), Ho at (0.500, 0.500, 0.500) and In at (0.500, 0.500, 0.000).

The calculation puts the density of states at the Fermi level at 1.1190 states/eV/atom. Its formation energy is -0.118 eV per atom. Its total energy is -0.16557 hartree per atom.